1.
Ho4GaPb2 | PBE | optimized geometry

Output
The formation energy is -365 meV per atom. As for the energy: -31.3 eV per formula unit.

Geometry as POSCAR:
```
Ho4GaPb2
1.0
-1.7344 -0.9610 -5.3161
3.2226 -5.6174 -0.0360
-7.2176 -4.1883 7.4308
Ho Ga Pb
8 2 4
direct
0.5771 0.5082 0.2650 Ho
0.0239 0.7500 0.8859 Ho
0.9761 0.2500 0.1141 Ho
0.5771 0.9918 0.2650 Ho
0.8074 0.2500 0.5626 Ho
0.4229 0.0082 0.7350 Ho
0.4229 0.4918 0.7350 Ho
0.1926 0.7500 0.4374 Ho
0.0935 0.7500 0.1704 Ga
0.9065 0.2500 0.8296 Ga
0.6019 0.7500 0.0051 Pb
0.3981 0.2500 0.9949 Pb
0.2076 0.2500 0.4275 Pb
0.7924 0.7500 0.5725 Pb
```



2.
Ho5Ga2Pb | PBE | optimized geometry

Output
The formation energy is -519 meV per atom. As for the energy: -36.8 eV per formula unit.

Geometry as POSCAR:
```
Ho5Ga2Pb
1.0
-2.9083 5.6080 -4.7196
-6.9649 -3.6963 -0.1002
2.9581 2.6237 7.8825
Ho Ga Pb
10 4 2
direct
0.5167 0.6979 0.7146 Ho
0.8021 0.9833 0.2854 Ho
0.0000 0.0000 0.0000 Ho
0.5000 0.5000 0.0000 Ho
0.1979 0.0167 0.7146 Ho
0.6979 0.1979 0.7146 Ho
0.0167 0.5167 0.7146 Ho
0.3021 0.8021 0.2854 Ho
0.9833 0.4833 0.2854 Ho
0.4833 0.3021 0.2854 Ho
0.1347 0.3653 0.0000 Ga
0.6347 0.1347 0.0000 Ga
0.3653 0.8653 0.0000 Ga
0.8653 0.6347 0.0000 Ga
0.7500 0.7500 0.5000 Pb
0.2500 0.2500 0.5000 Pb
```



3.
Ho12Ga6Pb | PBE | optimized geometry

Output
The formation energy is -391 meV per atom. As for the energy: -84.2 eV per formula unit.

Geometry as POSCAR:
```
Ho12Ga6Pb
1.0
8.2030 0.0000 -2.9002
-4.1015 7.1040 -2.9002
0.0000 0.0000 8.7006
Ho Ga Pb
12 6 1
direct
0.2958 0.1065 0.8108 Ho
0.2958 0.4850 0.1892 Ho
0.7042 0.5150 0.8108 Ho
0.7042 0.8935 0.1892 Ho
0.1065 0.8108 0.2958 Ho
0.4850 0.1892 0.2958 Ho
0.5150 0.8108 0.7042 Ho
0.8935 0.1892 0.7042 Ho
0.8108 0.2958 0.1065 Ho
0.1892 0.2958 0.4850 Ho
0.8108 0.7042 0.5150 Ho
0.1892 0.7042 0.8935 Ho
0.3776 0.5000 0.8776 Ga
0.6224 0.5000 0.1224 Ga
0.5000 0.8776 0.3776 Ga
0.5000 0.1224 0.6224 Ga
0.8776 0.3776 0.5000 Ga
0.1224 0.6224 0.5000 Ga
0.0000 0.0000 0.0000 Pb
```



4.
HoGaPdPb | PBE | optimized geometry

Output
The formation energy is -482 meV per atom. As for the energy: -18.4 eV per formula unit.

Geometry as POSCAR:
```
HoGaPdPb
1.0
-1.7453 -4.6125 0.4941
2.4973 -3.8158 -1.9414
2.3126 -3.2193 2.9755
Pb Ga Ho Pd
1 1 1 1
direct
0.2500 0.2500 0.2500 Pb
0.0000 0.0000 0.0000 Ga
0.7500 0.7500 0.7500 Ho
0.5000 0.5000 0.5000 Pd
```



5.
PmHoGaPb | PBE | optimized geometry

Output
The formation energy is -437 meV per atom. As for the energy: -17.8 eV per formula unit.

Geometry as POSCAR:
```
PmHoGaPb
1.0
-0.2742 -1.2880 5.1578
-4.4841 -2.0629 1.9935
-0.1564 -5.1164 1.4610
Pb Ho Ga Pm
1 1 1 1
direct
0.0000 0.0000 0.0000 Pb
0.7500 0.7500 0.7500 Ho
0.5000 0.5000 0.5000 Ga
0.2500 0.2500 0.2500 Pm
```



6.
PrHoGaPb | PBE | optimized geometry

Output
The formation energy is -433 meV per atom. As for the energy: -17.8 eV per formula unit.

Geometry as POSCAR:
```
PrHoGaPb
1.0
5.3616 0.0000 0.0000
2.6808 4.6433 0.0000
2.6808 1.5478 4.3777
Pb Pr Ho Ga
1 1 1 1
direct
0.5000 0.5000 0.5000 Pb
0.7500 0.7500 0.7500 Pr
0.2500 0.2500 0.2500 Ho
0.0000 0.0000 0.0000 Ga
```



7.
HoPuGaPb | PBE | optimized geometry

Output
The formation energy is -274 meV per atom. As for the energy: -26.7 eV per formula unit.

Geometry as POSCAR:
```
HoPuGaPb
1.0
-1.0017 -2.8271 4.3353
-1.0891 -5.1424 -0.3999
3.4924 -3.5726 1.6824
Pb Ho Ga Pu
1 1 1 1
direct
0.7500 0.7500 0.7500 Pb
0.0000 0.0000 0.0000 Ho
0.2500 0.2500 0.2500 Ga
0.5000 0.5000 0.5000 Pu
```



8.
HoGaPbS4 | PBE | optimized geometry

Output
As for the energy: -35.2 eV per formula unit. The value obtained for the uncorrected formation energy is -7.400 eV per formula unit.

Geometry as POSCAR:
```
HoGaPbS4
1.0
6.5335 0.0000 0.1092
0.0000 6.6948 0.0000
-2.4196 0.0000 7.6044
Ho Ga Pb S
2 2 2 8
direct
0.7778 0.7500 0.4435 Ho
0.2222 0.2500 0.5565 Ho
0.2385 0.7500 0.3182 Ga
0.7615 0.2500 0.6818 Ga
0.7476 0.7500 0.9320 Pb
0.2524 0.2500 0.0680 Pb
0.0000 0.5071 0.7259 S
0.0000 0.0071 0.2741 S
0.0000 0.4929 0.2741 S
0.0000 0.9929 0.7259 S
0.4469 0.7500 0.1372 S
0.5531 0.2500 0.8628 S
0.4557 0.7500 0.5972 S
0.5443 0.2500 0.4028 S
```



9.
HoGaPb2S5 | PBE | optimized geometry

Output
As for the energy: -44.7 eV per formula unit. The value obtained for the uncorrected formation energy is -9.028 eV per formula unit.

Geometry as POSCAR:
```
HoGaPb2S5
1.0
-0.1164 3.5785 -1.5757
1.3922 -5.2911 -7.2636
-12.6402 -1.1191 -1.6075
Ho Ga Pb S
2 2 4 10
direct
0.8008 0.6017 0.5277 Ho
0.1992 0.3983 0.0277 Ho
0.5537 0.1073 0.9269 Ga
0.4463 0.8927 0.4269 Ga
0.8770 0.7539 0.8251 Pb
0.1319 0.2637 0.6697 Pb
0.1230 0.2461 0.3251 Pb
0.8681 0.7363 0.1697 Pb
0.3497 0.6993 0.0145 S
0.6806 0.3611 0.8799 S
0.4891 0.9782 0.7760 S
0.2952 0.5904 0.6741 S
0.9607 0.9213 0.5299 S
0.6503 0.3007 0.5145 S
0.3194 0.6389 0.3799 S
0.5109 0.0218 0.2760 S
0.7048 0.4096 0.1741 S
0.0393 0.0787 0.0299 S
```



10.
HoScGaPb | PBE | optimized geometry

Output
The formation energy is -374 meV per atom. As for the energy: -19.1 eV per formula unit.

Geometry as POSCAR:
```
HoScGaPb
1.0
5.1331 0.0000 0.0000
2.5666 4.4454 0.0000
2.5666 1.4818 4.1912
Pb Sc Ho Ga
1 1 1 1
direct
0.7500 0.7500 0.7500 Pb
0.5000 0.5000 0.5000 Sc
0.0000 0.0000 0.0000 Ho
0.2500 0.2500 0.2500 Ga
```



11.
HoTmGaPb | PBE | optimized geometry

Output
The formation energy is -398 meV per atom. As for the energy: -17.4 eV per formula unit.

Geometry as POSCAR:
```
HoTmGaPb
1.0
-2.9154 3.4920 2.5893
-3.4380 -1.6170 3.6005
0.9010 0.9123 5.0748
Pb Tm Ho Ga
1 1 1 1
direct
0.7500 0.7500 0.7500 Pb
0.0000 0.0000 0.0000 Tm
0.5000 0.5000 0.5000 Ho
0.2500 0.2500 0.2500 Ga
```



12.
HoGa3Pd3 | PBE | optimized geometry

Output
For the energy relative to the lowest polymorph listed for this composition, the calculation gives 40.9 kJ/mol of atoms. The formation energy is -234 meV per atom. As for the energy: -30.9 eV per formula unit.

Geometry as POSCAR:
```
HoGa3Pd3
1.0
6.7760 0.0000 0.0000
0.0000 6.7760 0.0000
0.0000 0.0000 6.7760
Ga Ho Pd
6 2 6
direct
0.0000 0.2500 0.5000 Ga
0.0000 0.7500 0.5000 Ga
0.5000 0.0000 0.7500 Ga
0.7500 0.5000 0.0000 Ga
0.5000 0.0000 0.2500 Ga
0.2500 0.5000 0.0000 Ga
0.5000 0.5000 0.5000 Ho
0.0000 0.0000 0.0000 Ho
0.2500 0.0000 0.5000 Pd
0.0000 0.5000 0.2500 Pd
0.5000 0.7500 0.0000 Pd
0.7500 0.0000 0.5000 Pd
0.0000 0.5000 0.7500 Pd
0.5000 0.2500 0.0000 Pd
```



Please write out number 11 again, unchanged.
HoTmGaPb | PBE | optimized geometry

Output
The formation energy is -398 meV per atom. As for the energy: -17.4 eV per formula unit.

Geometry as POSCAR:
```
HoTmGaPb
1.0
-2.9154 3.4920 2.5893
-3.4380 -1.6170 3.6005
0.9010 0.9123 5.0748
Pb Tm Ho Ga
1 1 1 1
direct
0.7500 0.7500 0.7500 Pb
0.0000 0.0000 0.0000 Tm
0.5000 0.5000 0.5000 Ho
0.2500 0.2500 0.2500 Ga
```